Entry from Alexandria: an optimized crystal structure of MgZr2Ru (PBE).

Values from the calculation:
Mass density   5.98 g cm⁻³
ΔH_f (0 K)   0.10 eV per atom
Total moment   0.00 μB/f.u.

a = 7.711 Å, b = 7.711 Å, c = 6.164 Å
α = 51.28°, β = 51.28°, γ = 90.00°
Fractional coordinates of all 8 atoms:
Mg1 0.250 0.750 0.500
Zr1 0.875 0.924 0.750
Zr2 0.674 0.125 0.250
Mg2 0.500 0.500 0.000
Ru1 0.750 0.250 0.500
Zr3 0.076 0.625 0.250
Ru2 0.000 0.000 0.000
Zr4 0.375 0.326 0.750